(1)
PBE Pr8GaPd3I4, relaxed; raw formation energy = -810 meV per atom; M_tot = 0.00 μB/cell
1.0
4.333 2.502 7.988
-4.333 2.502 7.988
0.000 -5.004 7.988
Pr Ga Pd I
8 1 3 4
direct
0.228 0.735 0.735 Pr
0.231 0.231 0.231 Pr
0.265 0.265 0.772 Pr
0.265 0.772 0.265 Pr
0.735 0.228 0.735 Pr
0.735 0.735 0.228 Pr
0.769 0.769 0.769 Pr
0.772 0.265 0.265 Pr
0.500 0.500 0.500 Ga
0.000 0.000 0.500 Pd
0.000 0.500 0.000 Pd
0.500 0.000 0.000 Pd
0.000 0.000 0.000 I
0.000 0.500 0.500 I
0.500 0.000 0.500 I
0.500 0.500 0.000 I

(2)
PBE As2WSeCl, relaxed; raw formation energy = 1625 meV per atom; M_tot = 2.09 μB/cell; polymorph energy (0 for the lowest one) = 1345 meV per atom
1.0
4.685 0.000 0.000
0.000 4.685 0.000
0.000 0.000 4.931
As W Se Cl
2 1 1 1
direct
0.000 0.500 0.000 As
0.500 0.000 0.000 As
0.000 0.000 0.500 W
0.500 0.500 0.500 Se
0.500 0.500 0.000 Cl

(3)
PBE InIr2, relaxed; M_tot = 2.90 μB/cell; energy relative to the elements = 1.06 eV/atom
1.0
6.293 0.000 0.000
0.000 6.293 0.000
0.000 0.000 6.293
In Ir
4 8
direct
0.000 0.000 0.000 In
0.000 0.500 0.500 In
0.500 0.000 0.500 In
0.500 0.500 0.000 In
0.109 0.609 0.891 Ir
0.109 0.891 0.391 Ir
0.391 0.109 0.891 Ir
0.391 0.391 0.391 Ir
0.609 0.609 0.609 Ir
0.609 0.891 0.109 Ir
0.891 0.109 0.609 Ir
0.891 0.391 0.109 Ir

Summary of energy in eV per atom
-4.75; -3.89; -5.76
(order as listed above)